1.
DFT (PBE-GGA) results for an optimized crystal structure of NaBi2P2Pt7.

extended XYZ file:
```
12
Lattice="-0.498 -2.185 -3.309 -1.199 -3.096 2.224 -14.705 2.028 -1.530" Properties=species:S:1:pos:R:3 pbc="T T T"
Na 0.000 0.000 0.000
Bi -7.511 -3.324 -1.499
Bi -8.892 0.071 -1.115
P -12.395 -1.673 -1.846
P -4.008 -1.580 -0.768
Pt -0.849 -2.640 -0.542
Pt -6.193 -0.840 -0.923
Pt -10.211 -2.413 -1.691
Pt -3.105 -3.061 -2.340
Pt -3.455 -3.516 0.426
Pt -12.948 0.264 -3.040
Pt -13.299 -0.192 -0.274
```

Results
Formation enthalpy at 0 K = -0.3650 eV per atom
DFT total energy = -5.55 eV/atom
Size of the total moment = 0.0000 μB/atom

2.
DFT (PBE-GGA) results for an optimized crystal structure of SiOs2Cl.

extended XYZ file:
```
4
Lattice="-0.530 -0.351 4.235 -3.393 1.804 1.890 -3.135 -2.459 1.569" Properties=species:S:1:pos:R:3 pbc="T T T"
Si 0.000 0.000 0.000
Os -1.765 -0.252 1.923
Os -5.294 -0.755 5.770
Cl -3.529 -0.503 3.847
```

Results
Excess energy over the best structure of this formula in the dataset = 47.8 kJ per mole of atoms
Formation energy (no corrections) = 821 meV per atom
DFT total energy = -6.61 eV/atom
Size of the total moment = 0.0000 μB/atom

3.
DFT (PBE-GGA) results for an optimized crystal structure of As2RhAu.

extended XYZ file:
```
8
Lattice="5.747 0.000 0.000 0.000 5.747 0.000 2.873 2.873 5.558" Properties=species:S:1:pos:R:3 pbc="T T T"
Rh 2.873 2.873 0.000
Rh 2.873 5.747 2.779
As 4.147 1.437 1.389
As 1.600 4.310 1.389
As 4.310 4.473 4.168
As 7.183 7.020 4.168
Au 0.000 0.000 0.000
Au 5.747 2.873 2.779
```

Results
Formation enthalpy at 0 K = 0.0228 eV per atom
DFT total energy = -4.96 eV/atom
Size of the total moment = 0.0000 μB/atom